Entry 1
A plane-wave DFT calculation with PBE was carried out for an optimized crystal structure of Nb2ReH2.

Values from the calculation:
* space group: I4/mmm, No. 139

Unit cell a=3.123 b=3.123 c=6.297 alpha=75.64 beta=75.64 gamma=90.00
Atoms (fractional coordinates):
Re 0.000 0.000 0.000
Nb 0.360 0.360 0.280
Nb 0.640 0.640 0.720
H 0.750 0.250 0.500
H 0.250 0.750 0.500

---

Entry 2
A plane-wave DFT calculation with PBE was carried out for an optimized crystal structure of Nb2ReH2.

Values from the calculation:
* space group: P4/mmm, No. 123

Unit cell a=3.086 b=3.086 c=6.276 alpha=90.00 beta=90.00 gamma=90.00
Atoms (fractional coordinates):
Nb 0.500 0.500 0.734
Nb 0.500 0.500 0.266
Re 0.000 0.000 0.000
H 0.500 0.000 0.500
H 0.000 0.500 0.500

---

entry 1 wins, 13.3 kJ/mol of atoms ahead of the next structure.

---

Entry 1
A plane-wave DFT calculation with PBE was carried out for an optimized crystal structure of NbReH3.

Values from the calculation:
* space group: Pm-3m, No. 221

Unit cell a=3.501 b=3.501 c=3.501 alpha=90.00 beta=90.00 gamma=90.00
Atoms (fractional coordinates):
Re 0.000 0.000 0.000
Nb 0.500 0.500 0.500
H 0.000 0.500 0.000
H 0.000 0.000 0.500
H 0.500 0.000 0.000

---

Entry 2
A plane-wave DFT calculation with PBE was carried out for an optimized crystal structure of NbReH3.

Values from the calculation:
* space group: Pm-3m, No. 221

Unit cell a=3.514 b=3.514 c=3.514 alpha=90.00 beta=90.00 gamma=90.00
Atoms (fractional coordinates):
Re 0.500 0.500 0.500
Nb 0.000 0.000 0.000
H 0.000 0.500 0.000
H 0.000 0.000 0.500
H 0.500 0.000 0.000

---

entry 1 wins, 32.2 kJ/mol of atoms ahead of the next structure.

---

Entry 1
A plane-wave DFT calculation with PBE was carried out for an optimized crystal structure of Nb2ReHRh.

Values from the calculation:
* space group: P4/mmm, No. 123

Unit cell a=4.329 b=4.329 c=3.621 alpha=90.00 beta=90.00 gamma=90.00
Atoms (fractional coordinates):
Re 0.500 0.500 0.500
Nb 0.000 0.500 0.000
Nb 0.500 0.000 0.000
Rh 0.000 0.000 0.500
H 0.000 0.000 0.000

---

Entry 2
A plane-wave DFT calculation with PBE was carried out for an optimized crystal structure of Nb2ReHRh.

Values from the calculation:
* space group: P4/mmm, No. 123

Unit cell a=4.220 b=4.220 c=3.806 alpha=90.00 beta=90.00 gamma=90.00
Atoms (fractional coordinates):
Re 0.000 0.000 0.500
Nb 0.000 0.500 0.000
Nb 0.500 0.000 0.000
Rh 0.500 0.500 0.500
H 0.000 0.000 0.000

---

entry 1 wins, 4.0 kJ/mol of atoms ahead of the next structure.

---

Entry 1
A plane-wave DFT calculation with PBE was carried out for an optimized crystal structure of Nb2ReTcH.

Values from the calculation:
* space group: P4/mmm, No. 123

Unit cell a=4.463 b=4.463 c=3.442 alpha=90.00 beta=90.00 gamma=90.00
Atoms (fractional coordinates):
Re 0.500 0.500 0.500
Nb 0.000 0.500 0.000
Nb 0.500 0.000 0.000
Tc 0.000 0.000 0.500
H 0.000 0.000 0.000

---

Entry 2
A plane-wave DFT calculation with PBE was carried out for an optimized crystal structure of Nb2ReTcH.

Values from the calculation:
* space group: P4/mmm, No. 123

Unit cell a=4.450 b=4.450 c=3.477 alpha=90.00 beta=90.00 gamma=90.00
Atoms (fractional coordinates):
Re 0.000 0.000 0.500
Nb 0.000 0.500 0.000
Nb 0.500 0.000 0.000
Tc 0.500 0.500 0.500
H 0.000 0.000 0.000

---

entry 1 wins, 4.9 kJ/mol of atoms ahead of the next structure.

---

Entry 1
A plane-wave DFT calculation with PBE was carried out for an optimized crystal structure of NbReTc2H.

Values from the calculation:
* space group: P4/mmm, No. 123

Unit cell a=3.977 b=3.977 c=4.057 alpha=90.00 beta=90.00 gamma=90.00
Atoms (fractional coordinates):
Re 0.500 0.500 0.500
Nb 0.000 0.000 0.500
Tc 0.000 0.500 0.000
Tc 0.500 0.000 0.000
H 0.000 0.000 0.000

---

Entry 2
A plane-wave DFT calculation with PBE was carried out for an optimized crystal structure of NbReTc2H.

Values from the calculation:
* space group: P4/mmm, No. 123

Unit cell a=4.003 b=4.003 c=4.014 alpha=90.00 beta=90.00 gamma=90.00
Atoms (fractional coordinates):
Re 0.000 0.000 0.500
Nb 0.500 0.500 0.500
Tc 0.000 0.500 0.000
Tc 0.500 0.000 0.000
H 0.000 0.000 0.000

---

entry 1 wins, 2.1 kJ/mol of atoms ahead of the next structure.

---

Entry 1
A plane-wave DFT calculation with PBE was carried out for an optimized crystal structure of NbH2Rh2.

Values from the calculation:
* space group: I4/mmm, No. 139

Unit cell a=3.450 b=3.450 c=5.000 alpha=69.82 beta=69.82 gamma=90.00
Atoms (fractional coordinates):
H 0.750 0.250 0.500
H 0.250 0.750 0.500
Nb 0.000 0.000 0.000
Rh 0.342 0.342 0.316
Rh 0.658 0.658 0.684

---

Entry 2
A plane-wave DFT calculation with PBE was carried out for an optimized crystal structure of NbH2Rh2.

Values from the calculation:
* space group: P4/mbm, No. 127

Unit cell a=6.144 b=6.144 c=2.918 alpha=90.00 beta=90.00 gamma=90.00
Atoms (fractional coordinates):
H 0.269 0.769 0.000
H 0.769 0.731 0.000
H 0.731 0.231 0.000
H 0.231 0.269 0.000
Nb 0.000 0.000 0.000
Nb 0.500 0.500 0.000
Rh 0.150 0.650 0.500
Rh 0.650 0.850 0.500
Rh 0.850 0.350 0.500
Rh 0.350 0.150 0.500

---

entry 1 wins, 7.6 kJ/mol of atoms ahead of the next structure.

---

Entry 1
A plane-wave DFT calculation with PBE was carried out for an optimized crystal structure of NbH2Rh.

Values from the calculation:
* space group: I-42d, No. 122

Unit cell a=4.245 b=4.245 c=5.294 alpha=66.36 beta=66.36 gamma=90.00
Atoms (fractional coordinates):
H 0.657 0.125 0.250
H 0.093 0.625 0.250
H 0.375 0.343 0.750
H 0.875 0.907 0.750
Nb 0.500 0.500 0.000
Nb 0.250 0.750 0.500
Rh 0.000 0.000 0.000
Rh 0.750 0.250 0.500

---

Entry 2
A plane-wave DFT calculation with PBE was carried out for an optimized crystal structure of NbH2Rh.

Values from the calculation:
* space group: R3m, No. 160

Unit cell a=2.975 b=2.975 c=5.394 alpha=73.99 beta=73.99 gamma=60.00
Atoms (fractional coordinates):
Nb 0.502 0.502 0.493
H 0.067 0.067 0.798
H 0.239 0.239 0.282
Rh 0.691 0.691 0.927

---

Entry 3
A plane-wave DFT calculation with PBE was carried out for an optimized crystal structure of NbH2Rh.

Values from the calculation:
* space group: P2_1/c, No. 14

Unit cell a=5.929 b=5.095 c=5.939 alpha=125.76 beta=90.00 gamma=90.00
Atoms (fractional coordinates):
Nb 0.125 0.253 0.006
Nb 0.375 0.753 0.506
Nb 0.875 0.747 0.994
Nb 0.625 0.247 0.494
H 0.395 0.251 0.771
H 0.152 0.762 0.782
H 0.895 0.249 0.729
H 0.605 0.749 0.229
H 0.848 0.238 0.218
H 0.652 0.738 0.718
H 0.348 0.262 0.282
H 0.105 0.751 0.271
Rh 0.625 0.259 0.001
Rh 0.125 0.241 0.499
Rh 0.375 0.741 0.999
Rh 0.875 0.759 0.501

---

Entry 4
A plane-wave DFT calculation with PBE was carried out for an optimized crystal structure of NbH2Rh.

Values from the calculation:
* space group: Pmmn, No. 59

Unit cell a=2.943 b=4.789 c=5.211 alpha=90.00 beta=90.00 gamma=90.00
Atoms (fractional coordinates):
Nb 0.250 0.250 0.624
Nb 0.750 0.750 0.376
H 0.250 0.472 0.300
H 0.750 0.528 0.700
H 0.750 0.972 0.700
H 0.250 0.028 0.300
Rh 0.750 0.250 0.077
Rh 0.250 0.750 0.923

---

entry 4 wins, 1.7 kJ/mol of atoms ahead of the next structure.

---

Entry 1
A plane-wave DFT calculation with PBE was carried out for an optimized crystal structure of TaNbHRh2.

Values from the calculation:
* space group: P4/mmm, No. 123

Unit cell a=3.995 b=3.995 c=4.122 alpha=90.00 beta=90.00 gamma=90.00
Atoms (fractional coordinates):
H 0.000 0.000 0.000
Nb 0.000 0.000 0.500
Rh 0.000 0.500 0.000
Rh 0.500 0.000 0.000
Ta 0.500 0.500 0.500

---

Entry 2
A plane-wave DFT calculation with PBE was carried out for an optimized crystal structure of TaNbHRh2.

Values from the calculation:
* space group: P4/mmm, No. 123

Unit cell a=3.995 b=3.995 c=4.125 alpha=90.00 beta=90.00 gamma=90.00
Atoms (fractional coordinates):
H 0.000 0.000 0.000
Nb 0.500 0.500 0.500
Rh 0.000 0.500 0.000
Rh 0.500 0.000 0.000
Ta 0.000 0.000 0.500

---

entry 1 wins, 1.7 kJ/mol of atoms ahead of the next structure.

---

Entry 1
A plane-wave DFT calculation with PBE was carried out for an optimized crystal structure of Ta2NbHRh.

Values from the calculation:
* space group: P4/mmm, No. 123

Unit cell a=4.446 b=4.446 c=3.584 alpha=90.00 beta=90.00 gamma=90.00
Atoms (fractional coordinates):
H 0.000 0.000 0.000
Nb 0.500 0.500 0.500
Rh 0.000 0.000 0.500
Ta 0.000 0.500 0.000
Ta 0.500 0.000 0.000

---

Entry 2
A plane-wave DFT calculation with PBE was carried out for an optimized crystal structure of Ta2NbHRh.

Values from the calculation:
* space group: P4/mmm, No. 123

Unit cell a=4.435 b=4.435 c=3.620 alpha=90.00 beta=90.00 gamma=90.00
Atoms (fractional coordinates):
H 0.000 0.000 0.000
Nb 0.000 0.000 0.500
Rh 0.500 0.500 0.500
Ta 0.000 0.500 0.000
Ta 0.500 0.000 0.000

---

entry 1 wins, 5.3 kJ/mol of atoms ahead of the next structure.

---

Entry 1
A plane-wave DFT calculation with PBE was carried out for an optimized crystal structure of NbTc2HRh.

Values from the calculation:
* space group: P4/mmm, No. 123

Unit cell a=3.922 b=3.922 c=4.108 alpha=90.00 beta=90.00 gamma=90.00
Atoms (fractional coordinates):
H 0.000 0.000 0.000
Nb 0.000 0.000 0.500
Rh 0.500 0.500 0.500
Tc 0.000 0.500 0.000
Tc 0.500 0.000 0.000

---

Entry 2
A plane-wave DFT calculation with PBE was carried out for an optimized crystal structure of NbTc2HRh.

Values from the calculation:
* space group: P4/mmm, No. 123

Unit cell a=3.965 b=3.965 c=4.010 alpha=90.00 beta=90.00 gamma=90.00
Atoms (fractional coordinates):
H 0.000 0.000 0.000
Nb 0.500 0.500 0.500
Rh 0.000 0.000 0.500
Tc 0.000 0.500 0.000
Tc 0.500 0.000 0.000

---

entry 2 wins, 0.9 kJ/mol of atoms ahead of the next structure.

---

Entry 1
A plane-wave DFT calculation with PBE was carried out for an optimized crystal structure of Nb2TcHRh.

Values from the calculation:
* space group: P4/mmm, No. 123

Unit cell a=4.221 b=4.221 c=3.778 alpha=90.00 beta=90.00 gamma=90.00
Atoms (fractional coordinates):
H 0.000 0.000 0.000
Nb 0.000 0.500 0.000
Nb 0.500 0.000 0.000
Rh 0.500 0.500 0.500
Tc 0.000 0.000 0.500

---

Entry 2
A plane-wave DFT calculation with PBE was carried out for an optimized crystal structure of Nb2TcHRh.

Values from the calculation:
* space group: P4/mmm, No. 123

Unit cell a=4.298 b=4.298 c=3.652 alpha=90.00 beta=90.00 gamma=90.00
Atoms (fractional coordinates):
H 0.000 0.000 0.000
Nb 0.000 0.500 0.000
Nb 0.500 0.000 0.000
Rh 0.000 0.000 0.500
Tc 0.500 0.500 0.500

---

entry 2 wins, 0.9 kJ/mol of atoms ahead of the next structure.

---

Entry 1
A plane-wave DFT calculation with PBE was carried out for an optimized crystal structure of Ti2NbHRh.

Values from the calculation:
* space group: P4/mmm, No. 123

Unit cell a=4.430 b=4.430 c=3.433 alpha=90.00 beta=90.00 gamma=90.00
Atoms (fractional coordinates):
H 0.000 0.000 0.000
Nb 0.500 0.500 0.500
Rh 0.000 0.000 0.500
Ti 0.000 0.500 0.000
Ti 0.500 0.000 0.000

---

Entry 2
A plane-wave DFT calculation with PBE was carried out for an optimized crystal structure of Ti2NbHRh.

Values from the calculation:
* space group: P4/mmm, No. 123

Unit cell a=4.340 b=4.340 c=3.586 alpha=90.00 beta=90.00 gamma=90.00
Atoms (fractional coordinates):
H 0.000 0.000 0.000
Nb 0.000 0.000 0.500
Rh 0.500 0.500 0.500
Ti 0.000 0.500 0.000
Ti 0.500 0.000 0.000

---

entry 2 wins, 1.4 kJ/mol of atoms ahead of the next structure.

---

Entry 1
A plane-wave DFT calculation with PBE was carried out for an optimized crystal structure of NbV2HRh.

Values from the calculation:
* space group: P4/mmm, No. 123

Unit cell a=3.813 b=3.813 c=4.248 alpha=90.00 beta=90.00 gamma=90.00
Atoms (fractional coordinates):
H 0.000 0.000 0.000
Nb 0.500 0.500 0.500
Rh 0.000 0.000 0.500
V 0.000 0.500 0.000
V 0.500 0.000 0.000

---

Entry 2
A plane-wave DFT calculation with PBE was carried out for an optimized crystal structure of NbV2HRh.

Values from the calculation:
* space group: P4/mmm, No. 123

Unit cell a=3.822 b=3.822 c=4.234 alpha=90.00 beta=90.00 gamma=90.00
Atoms (fractional coordinates):
H 0.000 0.000 0.000
Nb 0.000 0.000 0.500
Rh 0.500 0.500 0.500
V 0.000 0.500 0.000
V 0.500 0.000 0.000

---

entry 2 wins, 4.0 kJ/mol of atoms ahead of the next structure.